Entry 1:
LiMo3Pb after structural relaxation. Source: Alexandria, functional GGA-PBEsol.

The structure belongs to space group Pm-3m (No. 221); the cell edges are 4.2941, 4.2941 and 4.2941 Å and the angles 90.00°, 90.00° and 90.00°. The distinct sites, in fractional coordinates, are Li at (0.0000, 0.0000, 0.0000), Mo at (0.0000, 0.0000, 0.5000) and Pb at (0.5000, 0.5000, 0.5000).

For the total energy, the calculation gives -6.914 eV/atom. As for the formation energy: 1340 meV/atom. As for the density of states at the Fermi level: 5.84 states/eV per cell. The calculation puts the volume at 79 Å³ per cell.

Entry 2:
LaMnP3 after structural relaxation. Source: Alexandria, functional GGA-PBEsol.

The structure belongs to space group Pm-3m (No. 221); the cell edges are 4.4965, 4.4965 and 4.4965 Å and the angles 90.00°, 90.00° and 90.00°. The distinct sites, in fractional coordinates, are La at (0.0000, 0.0000, 0.0000), Mn at (0.5000, 0.5000, 0.5000) and P at (0.0000, 0.5000, 0.5000).

For the total energy, the calculation gives -6.976 eV/atom. As for the formation energy: -480 meV/atom. As for the density of states at the Fermi level: 4.37 states/eV per cell. The calculation puts the volume at 91 Å³ per cell. The calculation puts the offset from the most stable computed form at 0.000 eV per atom.

Entry 3:
NiRu3 after structural relaxation. Source: Alexandria, functional GGA-PBEsol.

The structure belongs to space group P-6m2 (No. 187); the cell edges are 2.6647, 2.6647 and 8.2723 Å and the angles 90.00°, 90.00° and 120.00°. The distinct sites, in fractional coordinates, are Ni at (0.0000, 0.0000, 0.0000), Ru at (0.0000, 0.0000, 0.5000) and Ru at (0.6667, 0.3333, 0.2471).

For the total energy, the calculation gives -9.099 eV/atom. As for the formation energy: 70 meV/atom. As for the density of states at the Fermi level: 3.93 states/eV per cell. The calculation puts the volume at 51 Å³ per cell.